An optimized crystal structure of In12Sn5Bi3. Source: Alexandria via LeMat-Bulk, functional PBE.

It has space group Ia-3d (No. 230), with a = 17.7520 Å, b = 17.7520 Å, c = 17.7520 Å, α = 90.00°, β = 90.00° and γ = 90.00°. The asymmetric unit holds In at (0.0153, 0.0727, 0.6525), Sn at (0.0000, 0.0000, 0.0000), Sn at (0.0000, 0.2500, 0.3750) and Bi at (0.0000, 0.2500, 0.1250).

The formation energy comes out at 0.1565 eV/atom. The magnetic moment comes out at 0.00 Bohr magnetons per cell.